1.
Pm2ThReN5: relaxed, PBE.

```
data_Pm2ThReN5
_chemical_formula_sum 'Pm8 Th4 Re4 N20'
_cell_length_a 6.731
_cell_length_b 6.731
_cell_length_c 11.502
_cell_angle_alpha 90.00
_cell_angle_beta 90.00
_cell_angle_gamma 90.00
_symmetry_space_group_name_H-M 'I 4/m c m'
_symmetry_Int_Tables_number 140
_symmetry_space_group_name_Hall '-I 4 2c'
loop_
_atom_site_label
_atom_site_fract_x
_atom_site_fract_y
_atom_site_fract_z
_atom_site_occupancy
Pm1 0.170 0.330 0.000 1
Th1 0.000 0.000 0.250 1
Re1 0.000 0.500 0.250 1
N1 0.000 0.000 0.000 1
N2 0.151 0.349 0.354 1
```

Results
Its uncorrected formation energy is -885 kJ/mol of formula units. As for the total magnetic moment: 0.000 μB per formula unit. Its crystal system is tetragonal.



2.
BeSeCl2: relaxed, PBE.

```
data_BeSeCl2
_chemical_formula_sum 'Be2 Se2 Cl4'
_cell_length_a 2.884
_cell_length_b 7.617
_cell_length_c 11.618
_cell_angle_alpha 90.00
_cell_angle_beta 90.00
_cell_angle_gamma 90.00
_symmetry_space_group_name_H-M 'I m m m'
_symmetry_Int_Tables_number 71
_symmetry_space_group_name_Hall '-I 2 2'
loop_
_atom_site_label
_atom_site_fract_x
_atom_site_fract_y
_atom_site_fract_z
_atom_site_occupancy
Be1 0.000 0.000 0.000 1
Se1 0.000 0.000 0.500 1
Cl1 0.000 0.500 0.373 1
```

Results
Its uncorrected formation energy is -174 kJ/mol of formula units. As for the total magnetic moment: 0.272 μB per formula unit. For the energy relative to the lowest polymorph listed for this composition, the calculation gives 146 meV per atom. Its crystal system is orthorhombic.



3.
CsTaO2F: relaxed, PBE.

```
data_CsTaO2F
_chemical_formula_sum 'Cs1 Ta1 O2 F1'
_cell_length_a 4.087
_cell_length_b 4.087
_cell_length_c 4.543
_cell_angle_alpha 90.00
_cell_angle_beta 90.00
_cell_angle_gamma 90.00
_symmetry_space_group_name_H-M 'P 4/m m m'
_symmetry_Int_Tables_number 123
_symmetry_space_group_name_Hall '-P 4 2'
loop_
_atom_site_label
_atom_site_fract_x
_atom_site_fract_y
_atom_site_fract_z
_atom_site_occupancy
Cs1 0.000 0.000 0.000 1
Ta1 0.500 0.500 0.500 1
O1 0.000 0.500 0.500 1
F1 0.500 0.500 0.000 1
```

Results
Its uncorrected formation energy is -1125 kJ/mol of formula units. As for the total magnetic moment: 0.535 μB per formula unit. Its crystal system is tetragonal.



4.
Sc2As2F: relaxed, PBE.

```
data_Sc2As2F
_chemical_formula_sum 'Sc4 As4 F2'
_cell_length_a 7.859
_cell_length_b 7.859
_cell_length_c 3.143
_cell_angle_alpha 90.00
_cell_angle_beta 90.00
_cell_angle_gamma 90.00
_symmetry_space_group_name_H-M 'P 4/m b m'
_symmetry_Int_Tables_number 127
_symmetry_space_group_name_Hall '-P 4 2ab'
loop_
_atom_site_label
_atom_site_fract_x
_atom_site_fract_y
_atom_site_fract_z
_atom_site_occupancy
Sc1 0.161 0.339 0.000 1
As1 0.138 0.638 0.500 1
F1 0.000 0.000 0.500 1
```

Results
Its uncorrected formation energy is -557 kJ/mol of formula units. As for the total magnetic moment: 0.000 μB per formula unit. For the energy relative to the lowest polymorph listed for this composition, the calculation gives 464 meV per atom. Its crystal system is tetragonal.



5.
Nd2Er2Ir3: relaxed, PBE.

```
data_Nd2Er2Ir3
_chemical_formula_sum 'Nd6 Er6 Ir9'
_cell_length_a 4.8186
_cell_length_b 4.8186
_cell_length_c 24.5769
_cell_angle_alpha 90.00
_cell_angle_beta 90.00
_cell_angle_gamma 120.00
_symmetry_space_group_name_H-M 'R -3 m'
_symmetry_Int_Tables_number 166
_symmetry_space_group_name_Hall '-R 3 2"'
loop_
_atom_site_label
_atom_site_fract_x
_atom_site_fract_y
_atom_site_fract_z
_atom_site_occupancy
Nd1 0.0000 0.0000 0.1235 1
Er1 0.0000 0.0000 0.3731 1
Ir1 0.0000 0.0000 0.0000 1
Ir2 0.0000 0.0000 0.2537 1
```

Results
The formation energy comes out at -0.7520 eV per atom. As for the total magnetic moment: 0.000 μB per formula unit. Its crystal system is trigonal.



6.
LiThSn3: relaxed, PBE.

```
data_LiThSn3
_chemical_formula_sum 'Li4 Th4 Sn12'
_cell_length_a 13.476
_cell_length_b 6.212
_cell_length_c 6.220
_cell_angle_alpha 90.00
_cell_angle_beta 90.00
_cell_angle_gamma 90.00
_symmetry_space_group_name_H-M 'P b c m'
_symmetry_Int_Tables_number 57
loop_
_symmetry_equiv_pos_as_xyz
'x,y,z'
'-x,-y,-z'
'-x,-y,z+1/2'
'x,y,-z+1/2'
'x,-y+1/2,-z'
'-x,y+1/2,z'
'-x,y+1/2,-z+1/2'
'x,-y+1/2,z+1/2'
loop_
_atom_site_label
_atom_site_fract_x
_atom_site_fract_y
_atom_site_fract_z
_atom_site_occupancy
Li1 0.106 0.250 0.000 1
Th1 0.311 0.501 0.250 1
Sn1 0.074 0.677 0.250 1
Sn2 0.246 0.501 0.750 1
Sn3 0.499 0.250 0.000 1
```

Results
The formation energy comes out at -0.3846 eV per atom. As for the total magnetic moment: 0.000 μB per formula unit. Its crystal system is orthorhombic.



In the order shown, the computed V values come out to 521.2, 255.2, 75.9, 194.2, 493.9, 520.7 Å³ per cell.